Entry 1:
This record from the Alexandria database describes a geometry-optimized SmB2Ir2 structure. The functional is PBE.

Calculated values
- Total magnetic moment: 0.00 μB per formula unit
- SG: I4/mmm (139)
- Energy of formation from the pure elements: -39 meV/atom

Cell: 6.7424 6.7424 6.7424 Å, 145.59 145.59 49.45°
Element x y z (fractional)
1 Sm 0.0000 0.0000 0.0000
2 B 0.1969 0.1969 0.0000
3 B 0.8031 0.8031 0.0000
4 Ir 0.2500 0.7500 0.5000
5 Ir 0.7500 0.2500 0.5000

***

Entry 2:
This record from the Alexandria database describes a geometry-optimized Sm2B4Ir3 structure. The functional is PBE.

Calculated values
- Total magnetic moment: 0.00 μB per formula unit
- SG: Fmmm (69)
- Energy of formation from the pure elements: -204 meV/atom

Cell: 6.8140 5.6427 5.4836 Å, 75.51 53.30 51.19°
Element x y z (fractional)
1 Sm 0.1542 0.1542 0.8458
2 Sm 0.8458 0.8458 0.1542
3 B 0.1173 0.5503 0.4497
4 B 0.4497 0.8827 0.1173
5 B 0.5503 0.1173 0.8827
6 B 0.8827 0.4497 0.5503
7 Ir 0.0000 0.0000 0.5000
8 Ir 0.5000 0.5000 0.0000
9 Ir 0.5000 0.5000 0.5000

***

Entry 3:
This record from the Alexandria database describes a geometry-optimized SmB3Ir3 structure. The functional is PBE.

Calculated values
- Energy above the lowest structure with this stoichiometry: 127 meV per atom
- Total magnetic moment: 0.00 μB per formula unit
- SG: R-3 (148)
- Energy of formation from the pure elements: -274 meV/atom

Cell: 7.5484 7.5484 7.5484 Å, 48.31 48.31 48.31°
Element x y z (fractional)
1 Sm 0.1672 0.1672 0.1672
2 Sm 0.8328 0.8328 0.8328
3 B 0.0466 0.7412 0.4048
4 B 0.2588 0.5952 0.9534
5 B 0.4048 0.0466 0.7412
6 B 0.5952 0.9534 0.2588
7 B 0.7412 0.4048 0.0466
8 B 0.9534 0.2588 0.5952
9 Ir 0.0674 0.3765 0.7047
10 Ir 0.2953 0.9326 0.6235
11 Ir 0.3765 0.7047 0.0674
12 Ir 0.6235 0.2953 0.9326
13 Ir 0.7047 0.0674 0.3765
14 Ir 0.9326 0.6235 0.2953

***

Entry 4:
This record from the Alexandria database describes a geometry-optimized Sm2B3Ir2 structure. The functional is PBE.

Calculated values
- Total magnetic moment: 0.00 μB per formula unit
- SG: C2/m (12)
- Energy of formation from the pure elements: -440 meV/atom

Cell: 5.2525 5.2525 7.2764 Å, 122.76 122.76 42.35°
Element x y z (fractional)
1 Sm 0.0702 0.0702 0.2955
2 Sm 0.9298 0.9298 0.7045
3 B 0.3343 0.3343 0.2362
4 B 0.5000 0.5000 0.5000
5 B 0.6657 0.6657 0.7638
6 Ir 0.2939 0.2939 0.8991
7 Ir 0.7061 0.7061 0.1009

***

Entry 5:
This record from the Alexandria database describes a geometry-optimized Sm3B2Ir7 structure. The functional is PBE.

Calculated values
- Total magnetic moment: 0.00 μB per formula unit
- SG: R-3m (166)
- Energy of formation from the pure elements: -690 meV/atom

Cell: 8.2277 8.2277 8.2277 Å, 38.76 38.76 38.76°
Element x y z (fractional)
1 Sm 0.0000 0.0000 0.0000
2 Sm 0.1436 0.1436 0.1436
3 Sm 0.8564 0.8564 0.8564
4 B 0.3339 0.3339 0.3339
5 B 0.6661 0.6661 0.6661
6 Ir 0.0709 0.5673 0.5673
7 Ir 0.4327 0.4327 0.9291
8 Ir 0.4327 0.9291 0.4327
9 Ir 0.5000 0.5000 0.5000
10 Ir 0.5673 0.0709 0.5673
11 Ir 0.5673 0.5673 0.0709
12 Ir 0.9291 0.4327 0.4327

***

Entry 6:
This record from the Alexandria database describes a geometry-optimized Sm2BIr2 structure. The functional is PBE.

Calculated values
- Total magnetic moment: 0.00 μB per formula unit
- SG: C2/c (15)
- Energy of formation from the pure elements: -540 meV/atom

Cell: 5.8394 5.8394 6.7808 Å, 98.02 98.02 58.17°
Element x y z (fractional)
1 Sm 0.0236 0.2682 0.1400
2 Sm 0.2682 0.0236 0.6400
3 Sm 0.7318 0.9764 0.3600
4 Sm 0.9764 0.7318 0.8600
5 B 0.4560 0.5440 0.2500
6 B 0.5440 0.4560 0.7500
7 Ir 0.2600 0.4992 0.4817
8 Ir 0.4992 0.2600 0.9817
9 Ir 0.5008 0.7400 0.0183
10 Ir 0.7400 0.5008 0.5183

***

Entry 7:
This record from the Alexandria database describes a geometry-optimized Sm3B8Ir3 structure. The functional is PBE.

Calculated values
- Total magnetic moment: 0.01 μB per formula unit
- SG: Immm (71)
- Energy of formation from the pure elements: -175 meV/atom

Cell: 7.3281 7.3281 7.3281 Å, 152.53 99.31 87.19°
Element x y z (fractional)
1 Sm 0.0000 0.0000 0.0000
2 Sm 0.2902 0.2902 0.0000
3 Sm 0.7098 0.7098 0.0000
4 B 0.0098 0.3013 0.7085
5 B 0.1540 0.8626 0.2914
6 B 0.4073 0.6987 0.7085
7 B 0.4288 0.1374 0.2914
8 B 0.5712 0.8626 0.7086
9 B 0.5927 0.3013 0.2915
10 B 0.8460 0.1374 0.7086
11 B 0.9902 0.6987 0.2915
12 Ir 0.2636 0.5000 0.7636
13 Ir 0.5000 0.0000 0.5000
14 Ir 0.7364 0.5000 0.2364

***

Entry 8:
This record from the Alexandria database describes a geometry-optimized SmBIr structure. The functional is PBE.

Calculated values
- Energy above the lowest structure with this stoichiometry: 114 meV per atom
- Total magnetic moment: 0.00 μB per formula unit
- SG: C2/c (15)
- Energy of formation from the pure elements: -477 meV/atom

Cell: 5.5671 5.5671 5.3501 Å, 118.62 118.62 50.59°
Element x y z (fractional)
1 Sm 0.0000 0.5000 0.0000
2 Sm 0.5000 0.0000 0.5000
3 B 0.0000 0.0000 0.0000
4 B 0.0000 0.0000 0.5000
5 Ir 0.3024 0.6976 0.7500
6 Ir 0.6976 0.3024 0.2500

***

Entry 9:
This record from the Alexandria database describes a geometry-optimized SmBIr structure. The functional is PBE.

Calculated values
- Energy above the lowest structure with this stoichiometry: 60 meV per atom
- Total magnetic moment: 0.00 μB per formula unit
- SG: P4/nmm (129)
- Energy of formation from the pure elements: -530 meV/atom

Cell: 3.8695 3.8695 7.3867 Å, 90.00 90.00 90.00°
Element x y z (fractional)
1 Sm 0.2500 0.2500 0.1826
2 Sm 0.7500 0.7500 0.8174
3 B 0.2500 0.2500 0.6415
4 B 0.7500 0.7500 0.3585
5 Ir 0.2500 0.7500 0.5000
6 Ir 0.7500 0.2500 0.5000

***

Entry 10:
This record from the Alexandria database describes a geometry-optimized SnBIr structure. The functional is PBE.

Calculated values
- Energy above the lowest structure with this stoichiometry: 0 meV per atom
- Total magnetic moment: 0.00 μB per formula unit
- SG: P-1 (2)
- Energy of formation from the pure elements: 30 meV/atom

Cell: 3.8954 4.0586 7.0160 Å, 77.69 89.31 89.95°
Element x y z (fractional)
1 Sn 0.2496 0.2247 0.0865
2 Sn 0.7504 0.7753 0.9135
3 B 0.2521 0.7860 0.3907
4 B 0.7479 0.2140 0.6093
5 Ir 0.2501 0.2572 0.4846
6 Ir 0.7499 0.7428 0.5154

***

Entry 11:
This record from the Alexandria database describes a geometry-optimized Sn4B3Ir7 structure. The functional is PBE.

Calculated values
- Total magnetic moment: 0.00 μB per formula unit
- SG: P6_3/m (176)
- Energy of formation from the pure elements: -274 meV/atom

Cell: 9.3856 9.3856 5.6936 Å, 90.00 90.00 120.00°
Element x y z (fractional)
1 Sn 0.0917 0.5895 0.2500
2 Sn 0.3333 0.6667 0.7500
3 Sn 0.4105 0.5021 0.2500
4 Sn 0.4979 0.9083 0.2500
5 Sn 0.5021 0.0917 0.7500
6 Sn 0.5895 0.4979 0.7500
7 Sn 0.6667 0.3333 0.2500
8 Sn 0.9083 0.4105 0.7500
9 B 0.0370 0.8273 0.7500
10 B 0.1727 0.2097 0.7500
11 B 0.2097 0.0370 0.2500
12 B 0.7903 0.9630 0.7500
13 B 0.8273 0.7903 0.2500
14 B 0.9630 0.1727 0.2500
15 Ir 0.0000 0.0000 0.0000
16 Ir 0.0000 0.0000 0.5000
17 Ir 0.1238 0.3541 0.5011
18 Ir 0.1238 0.3541 0.9989
19 Ir 0.2304 0.8762 0.5011
20 Ir 0.2304 0.8762 0.9989
21 Ir 0.3541 0.2304 0.0011
22 Ir 0.3541 0.2304 0.4989
23 Ir 0.6459 0.7696 0.5011
24 Ir 0.6459 0.7696 0.9989
25 Ir 0.7696 0.1238 0.0011
26 Ir 0.7696 0.1238 0.4989
27 Ir 0.8762 0.6459 0.0011
28 Ir 0.8762 0.6459 0.4989

***

Entry 12:
This record from the Alexandria database describes a geometry-optimized SnBIr2 structure. The functional is PBE.

Calculated values
- Energy above the lowest structure with this stoichiometry: 5 meV per atom
- Total magnetic moment: 0.00 μB per formula unit
- SG: R-3m (166)
- Energy of formation from the pure elements: -64 meV/atom

Cell: 6.4156 6.4156 6.4156 Å, 30.56 30.56 30.56°
Element x y z (fractional)
1 Sn 0.0000 0.0000 0.0000
2 B 0.5000 0.5000 0.5000
3 Ir 0.2209 0.2209 0.2209
4 Ir 0.7791 0.7791 0.7791